Sr2ReTe | the Alexandria database | meta-GGA SCAN | PBEsol geometry; density of states at the Fermi level = 2.6 states/eV/f.u.; total DFT energy (no corrections) = -38.0656 eV/atom; formation energy (no corrections) = 0.637 eV/f.u.; symmetry = Cm, No. 8; energy relative to the lowest polymorph listed for this composition = 0.0000 eV/atom
1.0
12.015 0.000 0.000
0.000 3.504 0.000
-1.766 0.000 5.188
Sr Re Te
4 2 2
direct
0.000 0.000 0.000
0.196 0.000 0.646
0.500 0.500 0.000
0.696 0.500 0.646
0.258 0.500 0.185
0.758 0.000 0.185
0.421 0.000 0.439
0.921 0.500 0.439

LaAg3C | the Alexandria database | meta-GGA SCAN | PBEsol geometry; density of states at the Fermi level = 3.6 states/eV/f.u.; total DFT energy (no corrections) = -27.0940 eV/atom; symmetry = Pm-3m, No. 221; formation energy from the elements = 2367 meV/atom
1.0
5.642 0.000 0.000
0.000 5.642 0.000
0.000 0.000 5.642
La Ag C
1 3 1
direct
0.000 0.000 0.000
0.000 0.000 0.500
0.000 0.500 0.000
0.500 0.000 0.000
0.500 0.500 0.500

MgSc2F | the Alexandria database | meta-GGA SCAN | PBEsol geometry; density of states at the Fermi level = 4.5 states/eV/f.u.; total DFT energy (no corrections) = -9.5696 eV/atom; formation energy (no corrections) = -1.290 eV/f.u.; symmetry = Fm-3m, No. 225
1.0
6.857 0.000 0.000
0.000 6.857 0.000
0.000 0.000 6.857
Mg Sc F
4 8 4
direct
0.000 0.000 0.000
0.000 0.500 0.500
0.500 0.000 0.500
0.500 0.500 0.000
0.250 0.250 0.250
0.250 0.250 0.750
0.250 0.750 0.250
0.250 0.750 0.750
0.750 0.250 0.250
0.750 0.250 0.750
0.750 0.750 0.250
0.750 0.750 0.750
0.000 0.000 0.500
0.000 0.500 0.000
0.500 0.000 0.000
0.500 0.500 0.500